VASP calculation (PBE) on a relaxed structure of TbPm6Sn4.

Calculated values
E_form ... -0.3598 eV/atom
DOS at the Fermi energy ... 11.93 states/eV per cell

Cell: 8.2539 8.2539 8.2539 Å, 86.59 121.99 121.99°
Fractional coordinates of all 11 atoms:
Tb: 0.0000 0.0000 0.0000
Pm: 0.0000 0.8252 0.5055
Pm: 0.0000 0.5055 0.8252
Pm: 0.6802 0.1748 0.1748
Pm: 0.5000 0.0000 0.5000
Pm: 0.3198 0.4945 0.4945
Pm: 0.5000 0.5000 0.0000
Sn: 0.0000 0.1728 0.6302
Sn: 0.5426 0.3698 0.3698
Sn: 0.0000 0.6302 0.1728
Sn: 0.4574 0.8272 0.8272


VASP calculation (PBE) on a relaxed structure of TbPm6Sn.

Calculated values
E_form ... -0.1969 eV/atom
DOS at the Fermi energy ... 8.15 states/eV per cell

Cell: 4.9746 4.9746 10.2954 Å, 90.00 90.00 90.00°
Fractional coordinates of all 8 atoms:
Tb: 0.0000 0.0000 0.5000
Pm: 0.5000 0.5000 0.0000
Pm: 0.5000 0.5000 0.5000
Pm: 0.5000 0.0000 0.2410
Pm: 0.5000 0.0000 0.7590
Pm: 0.0000 0.5000 0.2410
Pm: 0.0000 0.5000 0.7590
Sn: 0.0000 0.0000 0.0000


VASP calculation (PBE) on a relaxed structure of TbPm3Sn6.

Calculated values
E_form ... -0.4876 eV/atom
DOS at the Fermi energy ... 12.02 states/eV per cell

Cell: 7.3642 9.5944 8.3217 Å, 90.00 84.56 90.00°
Fractional coordinates of all 20 atoms:
Tb: 0.5000 0.5000 0.5000
Tb: 0.0000 0.0000 0.0000
Pm: 0.5327 0.9014 0.7060
Pm: 0.5000 0.5000 0.0000
Pm: 0.4673 0.0986 0.2940
Pm: 0.0327 0.5986 0.2060
Pm: 0.0000 0.0000 0.5000
Pm: 0.9673 0.4014 0.7940
Sn: 0.6388 0.1695 0.9272
Sn: 0.7023 0.2308 0.5735
Sn: 0.7956 0.3163 0.2022
Sn: 0.2044 0.6837 0.7978
Sn: 0.2977 0.7692 0.4265
Sn: 0.3612 0.8305 0.0728
Sn: 0.1388 0.3305 0.4272
Sn: 0.2023 0.2692 0.0735
Sn: 0.2956 0.1837 0.7022
Sn: 0.7044 0.8163 0.2978
Sn: 0.7977 0.7308 0.9265
Sn: 0.8612 0.6695 0.5728


VASP calculation (PBE) on a relaxed structure of TbPm4Sn3.

Calculated values
E_form ... -0.5854 eV/atom
DOS at the Fermi energy ... 6.64 states/eV per cell

Cell: 4.7443 9.5549 9.5531 Å, 141.18 104.38 90.00°
Fractional coordinates of all 8 atoms:
Tb: 0.0000 0.0000 0.0000
Pm: 0.1370 0.8520 0.2740
Pm: 0.8630 0.1480 0.7260
Pm: 0.6583 0.4777 0.3166
Pm: 0.3417 0.5223 0.6834
Sn: 0.3369 0.8729 0.6739
Sn: 0.6631 0.1271 0.3261
Sn: 0.5000 0.5000 0.0000


VASP calculation (PBE) on a relaxed structure of Tb3PmSn2.

Calculated values
E_form ... -0.2117 eV/atom
DOS at the Fermi energy ... 15.15 states/eV per cell

Cell: 8.6419 8.6419 8.6419 Å, 53.46 53.46 53.46°
Fractional coordinates of all 12 atoms:
Tb: 0.4810 0.0190 0.7500
Tb: 0.0190 0.7500 0.4810
Tb: 0.7500 0.4810 0.0190
Tb: 0.5190 0.9810 0.2500
Tb: 0.9810 0.2500 0.5190
Tb: 0.2500 0.5190 0.9810
Pm: 0.5000 0.5000 0.5000
Pm: 0.0000 0.0000 0.0000
Sn: 0.3558 0.3558 0.3558
Sn: 0.1442 0.1442 0.1442
Sn: 0.8558 0.8558 0.8558
Sn: 0.6442 0.6442 0.6442


VASP calculation (PBE) on a relaxed structure of Tb3Pm2Sn.

Calculated values
E_form ... -0.2571 eV/atom
DOS at the Fermi energy ... 6.93 states/eV per cell

Cell: 4.9139 4.8732 8.0179 Å, 107.69 90.00 90.00°
Fractional coordinates of all 6 atoms:
Tb: 0.5000 0.1641 0.3282
Tb: 0.5000 0.5000 0.0000
Tb: 0.5000 0.8359 0.6718
Pm: 0.0000 0.6604 0.3208
Pm: 0.0000 0.3396 0.6792
Sn: 0.0000 0.0000 0.0000